# 1
Here is a geometry-optimized Mg5TlCdGa2 structure from Alexandria. Energies are from GGA-PBE.

E_form: -0.0456 eV per atom
D(E_F): 9.00 states/eV per cell

Cell lengths 6.827, 6.827, 17.552 Å; angles 90.00, 90.00, 90.00 degrees
Space group I4/mcm (No. 140)
Symmetry-distinct sites (fractional):
Mg 0.000 0.000 0.000 (multiplicity 4)
Mg 0.192 0.308 0.122 (multiplicity 16)
Tl 0.000 0.500 0.250 (multiplicity 4)
Cd 0.000 0.000 0.250 (multiplicity 4)
Ga 0.129 0.371 0.500 (multiplicity 8)


# 2
Here is a geometry-optimized SmZn2Cu4 structure from Alexandria. Energies are from GGA-PBE.

E_form: -0.2209 eV per atom
excess energy over the best structure of this formula in the dataset: 0.000 eV/f.u.
D(E_F): 6.56 states/eV per cell

Cell lengths 6.505, 6.505, 5.053 Å; angles 90.00, 90.00, 90.00 degrees
Space group I4/mmm (No. 139)
Symmetry-distinct sites (fractional):
Sm 0.000 0.000 0.000 (multiplicity 2)
Zn 0.000 0.500 0.250 (multiplicity 4)
Cu 0.190 0.190 0.500 (multiplicity 8)


# 3
Here is a geometry-optimized Li2CoPt structure from Alexandria. Energies are from GGA-PBE.

E_form: -0.1930 eV per atom
excess energy over the best structure of this formula in the dataset: 0.211 eV/f.u.
D(E_F): 10.04 states/eV per cell

Cell lengths 2.6757, 2.6757, 25.8664 Å; angles 90.00, 90.00, 120.00 degrees
Space group R-3m (No. 166, hexagonal axes)
Symmetry-distinct sites (fractional):
Li 0.0000 0.0000 0.2493 (multiplicity 6)
Co 0.0000 0.0000 0.0000 (multiplicity 3)
Pt 0.0000 0.0000 0.5000 (multiplicity 3)


# 4
Here is a geometry-optimized LiIn3C structure from Alexandria. Energies are from GGA-PBE.

E_form: 1.3762 eV per atom
excess energy over the best structure of this formula in the dataset: 3.152 eV/f.u.
D(E_F): 2.99 states/eV per cell

Cell lengths 4.947, 4.947, 4.947 Å; angles 90.00, 90.00, 90.00 degrees
Space group Pm-3m (No. 221)
Symmetry-distinct sites (fractional):
Li 0.000 0.000 0.000 (multiplicity 1)
In 0.000 0.000 0.500 (multiplicity 3)
C 0.500 0.500 0.500 (multiplicity 1)


# 5
Here is a geometry-optimized Y2HoZn structure from Alexandria. Energies are from GGA-PBE.

E_form: 0.1542 eV per atom
excess energy over the best structure of this formula in the dataset: 1.265 eV/f.u.
D(E_F): 18.25 states/eV per cell

Cell lengths 3.4905, 3.4905, 33.8308 Å; angles 90.00, 90.00, 120.00 degrees
Space group R-3m (No. 166, hexagonal axes)
Symmetry-distinct sites (fractional):
Y 0.0000 0.0000 0.1009 (multiplicity 6)
Ho 0.0000 0.0000 0.0000 (multiplicity 3)
Zn 0.0000 0.0000 0.5000 (multiplicity 3)


# 6
Here is a geometry-optimized Li2Pd3Pb2 structure from Alexandria. Energies are from GGA-PBE.

E_form: -0.3767 eV per atom
excess energy over the best structure of this formula in the dataset: 0.000 eV/f.u.
D(E_F): 2.89 states/eV per cell

Cell lengths 8.119, 4.664, 7.229 Å; angles 90.00, 111.73, 90.00 degrees
Space group C2/m (No. 12)
Symmetry-distinct sites (fractional):
Li 0.136 0.000 0.407 (multiplicity 4)
Pd 0.000 0.000 0.000 (multiplicity 2)
Pd 0.227 0.500 0.181 (multiplicity 4)
Pb 0.085 0.500 0.755 (multiplicity 4)


# 7
Here is a geometry-optimized AlAs2Pb structure from Alexandria. Energies are from GGA-PBE.

E_form: 0.2674 eV per atom
excess energy over the best structure of this formula in the dataset: 1.537 eV/f.u.
D(E_F): 10.48 states/eV per cell

Cell lengths 7.064, 7.064, 7.064 Å; angles 90.00, 90.00, 90.00 degrees
Space group Fm-3m (No. 225)
Symmetry-distinct sites (fractional):
Al 0.000 0.000 0.000 (multiplicity 4)
As 0.250 0.250 0.250 (multiplicity 8)
Pb 0.000 0.000 0.500 (multiplicity 4)


# 8
Here is a geometry-optimized TbGdBeCu structure from Alexandria. Energies are from GGA-PBE.

E_form: -0.0398 eV per atom
D(E_F): 10.95 states/eV per cell

Cell lengths 6.939, 6.939, 6.939 Å; angles 90.00, 90.00, 90.00 degrees
Space group F-43m (No. 216)
Symmetry-distinct sites (fractional):
Tb 0.000 0.000 0.000 (multiplicity 4)
Gd 0.000 0.000 0.500 (multiplicity 4)
Be 0.250 0.250 0.750 (multiplicity 4)
Cu 0.250 0.250 0.250 (multiplicity 4)


The highest E_form belongs to which entry?
LiIn3C


What is the D(E_F) in the third record?
10.04 states/eV per cell


What is the E_form in the second record?
-0.2209 eV per atom


Number 6 is which compound?
Li2Pd3Pb2